Record 1
The following is a DFT calculation (PBE) of a relaxed structure of DyCdNO.

Output
excess energy over the best structure of this formula in the dataset	80	meV/atom

Unit cell a=6.2984 b=7.4444 c=6.0695 alpha=90.00 beta=90.00 gamma=90.00
Space group Pca2_1 (No. 29)
Asymmetric unit:
Dy 0.0815 0.1292 0.0000 x4
Cd 0.1202 0.5913 0.9939 x4
N 0.0623 0.6372 0.6414 x4
O 0.1010 0.0943 0.6382 x4

Record 2
The following is a DFT calculation (PBE) of a relaxed structure of ZnSiAg.

Unit cell a=5.9909 b=5.9909 c=5.9909 alpha=90.00 beta=90.00 gamma=90.00
Space group F-43m (No. 216)
Asymmetric unit:
Zn 0.0000 0.0000 0.0000 x4
Si 0.2500 0.2500 0.7500 x4
Ag 0.0000 0.0000 0.5000 x4

Record 3
The following is a DFT calculation (PBE) of a relaxed structure of Lu8Al2C3N3.

Unit cell a=3.3966 b=3.3966 c=26.6934 alpha=90.00 beta=90.00 gamma=120.00
Space group P-3m1 (No. 164)
Asymmetric unit:
Lu 0.0000 0.0000 0.1505 x2
Lu 0.0000 0.0000 0.3422 x2
Lu 0.3333 0.6667 0.5549 x2
Lu 0.3333 0.6667 0.9500 x2
Al 0.3333 0.6667 0.7571 x2
C 0.0000 0.0000 0.5000 x1
C 0.3333 0.6667 0.3876 x2
N 0.0000 0.0000 0.0000 x1
N 0.3333 0.6667 0.1041 x2

Record 4
The following is a DFT calculation (PBE) of a relaxed structure of HfMgSi2.

Unit cell a=6.5508 b=6.5508 c=6.5508 alpha=90.00 beta=90.00 gamma=90.00
Space group F-43m (No. 216)
Asymmetric unit:
Hf 0.0000 0.0000 0.0000 x4
Mg 0.2500 0.2500 0.7500 x4
Si 0.0000 0.0000 0.5000 x4
Si 0.2500 0.2500 0.2500 x4

Record 5
The following is a DFT calculation (PBE) of a relaxed structure of Tb5Te6.

Unit cell a=7.5335 b=12.9914 c=7.5109 alpha=90.00 beta=109.56 gamma=90.00
Space group C2/m (No. 12)
Asymmetric unit:
Tb 0.0000 0.0000 0.0000 x2
Tb 0.0000 0.1641 0.5000 x4
Tb 0.0000 0.3299 0.0000 x4
Te 0.2412 0.3386 0.7422 x8
Te 0.2406 0.5000 0.2547 x4

Record 6
The following is a DFT calculation (PBE) of a relaxed structure of Ta7N2.

Unit cell a=9.6692 b=6.2778 c=5.7894 alpha=90.00 beta=125.69 gamma=90.00
Space group C2/m (No. 12)
Asymmetric unit:
Ta 0.0000 0.0000 0.0000 x2
Ta 0.0175 0.5000 0.2383 x4
Ta 0.1984 0.2254 0.7056 x8
N 0.2357 0.0000 0.0234 x4

Record 7
The following is a DFT calculation (PBE) of a relaxed structure of YBeW.

Output
excess energy over the best structure of this formula in the dataset	0	meV/atom

Unit cell a=6.3955 b=6.3955 c=6.3955 alpha=90.00 beta=90.00 gamma=90.00
Space group F-43m (No. 216)
Asymmetric unit:
Y 0.0000 0.0000 0.0000 x4
Be 0.0000 0.0000 0.5000 x4
W 0.2500 0.2500 0.7500 x4

Record 8
The following is a DFT calculation (PBE) of a relaxed structure of Sm4InFe2Ge4.

Unit cell a=15.7465 b=4.2804 c=7.1433 alpha=90.00 beta=107.10 gamma=90.00
Space group C2/m (No. 12)
Asymmetric unit:
Sm 0.0907 0.0000 0.3864 x4
Sm 0.1525 0.0000 0.9423 x4
In 0.0000 0.5000 0.0000 x2
Fe 0.2192 0.5000 0.6252 x4
Ge 0.0694 0.5000 0.6567 x4
Ge 0.2123 0.5000 0.2818 x4

Looking at VASP energy for the records above, in order, we have -6.06; -3.01; -6.86; -5.28; -5.23; -11.29; -6.28; -5.79 eV/atom.
Looking at calculated volume for the records above, in order, we have 71; 54; 267; 70; 346; 143; 65; 230 Å³/f.u..